Model 1:
The following is a DFT calculation (PBE-GGA) of a relaxed SmDy2Ag crystal.

Cell: 3.6818 5.4813 5.4813 Å, 90.00 90.00 90.00°
With the nearest neighbours (Å) after each atom.
Atoms (fractional coordinates):
Ag: 0.5000 0.5000 0.5000  8 Dy 3.30, 2 Ag 3.68
Dy: 0.0000 0.0000 0.5000  4 Ag 3.30, 4 Sm 3.30, 2 Dy 3.68
Sm: 0.5000 0.0000 0.0000  8 Dy 3.30, 2 Sm 3.68
Dy: 0.0000 0.5000 0.0000  4 Ag 3.30, 4 Sm 3.30, 2 Dy 3.68

Output
Total moment, μB/f.u.: 0.00
Crystal system: tetragonal

=====

Model 2:
The following is a DFT calculation (PBE-GGA) of a relaxed SmDy2Ag crystal.

Cell: 3.5724 3.5724 10.7213 Å, 80.41 80.41 60.00°
With the nearest neighbours (Å) after each atom.
Atoms (fractional coordinates):
Dy: 0.2593 0.2593 0.2221  3 Ag 3.12
Sm: 0.5000 0.5000 0.5000  6 Sm 3.57, 6 Dy 3.58
Ag: 0.0000 0.0000 0.0000  6 Dy 3.12
Dy: 0.7407 0.7407 0.7779  3 Ag 3.12

Output
Total moment, μB/f.u.: 0.00
Crystal system: trigonal

=====

Model 3:
The following is a DFT calculation (PBE-GGA) of a relaxed SmDy2Ag crystal.

Cell: 4.9967 6.4236 7.9181 Å, 90.00 90.00 112.86°
With the nearest neighbours (Å) after each atom.
Atoms (fractional coordinates):
Dy: 0.6430 0.2860 0.0360  3 Ag 2.88-3.11
Dy: 0.3570 0.7140 0.5360  3 Ag 2.88-3.11
Sm: 0.9478 0.8955 0.2500  1 Ag 3.06
Sm: 0.0522 0.1045 0.7500  1 Ag 3.06
Ag: 0.7940 0.5878 0.7500  6 Dy 2.88-3.11, 1 Sm 3.06
Dy: 0.6430 0.2860 0.4640  3 Ag 2.88-3.11
Ag: 0.2060 0.4122 0.2500  6 Dy 2.88-3.11, 1 Sm 3.06
Dy: 0.3570 0.7140 0.9640  3 Ag 2.88-3.11

Output
Total moment, μB/f.u.: 0.00
Crystal system: orthorhombic

=====

Model 4:
The following is a DFT calculation (PBE-GGA) of a relaxed SmDy2Ag crystal.

Cell: 3.6095 3.6095 10.6150 Å, 80.21 80.21 60.00°
With the nearest neighbours (Å) after each atom.
Atoms (fractional coordinates):
Dy: 0.0733 0.0733 0.7801  3 Ag 3.09
Sm: 0.4999 0.4999 0.5002  6 Dy 3.58-3.59, 6 Sm 3.61
Ag: 0.6667 0.6667 0.9999  6 Dy 3.09-3.10
Dy: 0.2601 0.2601 0.2198  3 Ag 3.10

Output
Total moment, μB/f.u.: 0.00
Crystal system: trigonal

=====

Energy relative to the most stable one, in eV/atom: model 1 0.088; model 2 0.054; model 3 0.000; model 4 0.067